[1]
This record from Alexandria via LeMat-Bulk describes a relaxed structure of TaAlTcRu. The functional is PBE.

Cell and atoms, written as extended XYZ:
```
4
Lattice="3.1338 0.0000 0.0000 0.0000 3.1338 0.0000 0.0000 0.0000 6.1391" Properties=species:S:1:pos:R:3 pbc="T T T"
Ta 0.0000 0.0000 0.0000
Al 0.0000 0.0000 3.0626
Tc 1.5669 1.5669 1.5604
Ru 1.5669 1.5669 4.5506
```

Computed properties:
As for the formation enthalpy at 0 K: -0.537 eV/atom.

[2]
This record from Alexandria via LeMat-Bulk describes a relaxed structure of Ce3SmPu2Se6. The functional is PBE.

Cell and atoms, written as extended XYZ:
```
12
Lattice="3.6125 -6.2619 0.0000 3.6125 6.2619 0.0000 -2.4085 0.0000 6.8527" Properties=species:S:1:pos:R:3 pbc="T T T"
Ce 0.0000 0.0000 0.0000
Ce 3.6125 2.0767 0.0000
Ce 3.6125 -2.0767 0.0000
Sm 2.4082 0.0000 3.4264
Pu 2.4082 4.1744 3.4264
Pu 2.4082 -4.1744 3.4264
Se 1.1951 2.1029 1.7488
Se -0.0184 0.0000 5.1033
Se 1.1951 -2.1029 1.7488
Se 3.6213 2.1029 5.1039
Se 4.8349 0.0000 1.7495
Se 3.6213 -2.1029 5.1039
```

Computed properties:
The uncorrected formation energy is -1.729 eV/atom.

[3]
This record from Alexandria via LeMat-Bulk describes a relaxed structure of Ac2GeN. The functional is PBE.

Cell and atoms, written as extended XYZ:
```
8
Lattice="7.2016 -2.6102 0.0000 7.2016 2.6102 0.0000 -0.5928 0.0000 6.3487" Properties=species:S:1:pos:R:3 pbc="T T T"
Ac 5.0957 1.5130 6.1504
Ac 8.4182 1.5130 3.3727
Ac 5.3921 -1.5130 2.9760
Ac 8.7146 -1.5130 0.1983
Ge 3.3044 1.3051 3.1744
Ge 3.6008 -1.3051 0.0000
N 7.0534 2.5242 1.5872
N 6.7570 -2.5242 4.7616
```

Computed properties:
The uncorrected formation energy is -0.775 eV/atom.

[4]
This record from Alexandria via LeMat-Bulk describes a relaxed structure of Fe2GePd8. The functional is PBE.

Cell and atoms, written as extended XYZ:
```
11
Lattice="6.9650 -2.0132 0.0000 6.9650 2.0132 0.0000 -1.3995 0.0000 5.8411" Properties=species:S:1:pos:R:3 pbc="T T T"
Fe 2.8509 0.0000 0.8811
Fe 9.6796 0.0000 4.9600
Ge 6.2652 0.0000 2.9205
Pd 0.2111 0.0000 1.4518
Pd 1.1512 0.0000 4.1834
Pd 3.7013 0.0000 3.3648
Pd 5.5568 0.0000 0.2287
Pd 6.9736 0.0000 5.6124
Pd 8.8291 0.0000 2.4763
Pd 11.3793 0.0000 1.6577
Pd 12.3193 0.0000 4.3893
```

Computed properties:
As for the formation enthalpy at 0 K: -0.182 eV/atom.

[5]
This record from Alexandria via LeMat-Bulk describes a relaxed structure of PuScFeTc. The functional is PBE.

Cell and atoms, written as extended XYZ:
```
4
Lattice="0.0000 3.2585 3.2585 3.2585 0.0000 3.2585 3.2585 3.2585 0.0000" Properties=species:S:1:pos:R:3 pbc="T T T"
Pu 0.0000 0.0000 0.0000
Sc 3.2585 3.2585 3.2585
Fe 1.6293 1.6293 1.6293
Tc 4.8878 4.8878 4.8878
```

Computed properties:
As for the formation enthalpy at 0 K: -0.084 eV/atom.

[6]
This record from Alexandria via LeMat-Bulk describes a relaxed structure of HoThGaSi. The functional is PBE.

Cell and atoms, written as extended XYZ:
```
4
Lattice="4.0186 0.0000 0.0000 0.0000 2.1785 5.4514 0.0000 -2.1785 5.4514" Properties=species:S:1:pos:R:3 pbc="T T T"
Ho 0.0000 0.0000 0.0000
Th 2.0093 0.0000 7.8254
Ga 0.0000 0.0000 3.1439
Si 2.0093 0.0000 4.7663
```

Computed properties:
The uncorrected formation energy is -0.656 eV/atom.

[7]
This record from Alexandria via LeMat-Bulk describes a relaxed structure of Ag2HgRhI. The functional is PBE.

Cell and atoms, written as extended XYZ:
```
5
Lattice="5.4296 0.0000 0.0000 0.0000 5.4296 0.0000 0.0000 0.0000 4.8992" Properties=species:S:1:pos:R:3 pbc="T T T"
Ag 0.0000 2.7148 0.0000
Ag 2.7148 0.0000 0.0000
Hg 0.0000 0.0000 2.4496
Rh 2.7148 2.7148 2.4496
I 2.7148 2.7148 0.0000
```

Computed properties:
The uncorrected formation energy is 0.777 eV/atom.

[8]
This record from Alexandria via LeMat-Bulk describes a relaxed structure of KCd8Ag4. The functional is PBE.

Cell and atoms, written as extended XYZ:
```
13
Lattice="-5.0870 5.0870 2.8162 5.0870 -5.0870 2.8162 5.0870 5.0870 -2.8162" Properties=species:S:1:pos:R:3 pbc="T T T"
K 0.0000 0.0000 0.0000
Cd 3.5704 0.0000 0.0000
Cd 6.6036 0.0000 0.0000
Cd 5.0870 2.8425 0.0000
Cd 0.0000 3.5704 0.0000
Cd 2.8425 5.0870 0.0000
Cd 2.2445 0.0000 2.8162
Cd 0.0000 6.6036 0.0000
Cd 0.0000 2.2445 2.8162
Ag 2.5435 2.5435 -1.4081
Ag 2.5435 -2.5435 1.4081
Ag -2.5435 2.5435 1.4081
Ag 2.5435 2.5435 1.4081
```

Computed properties:
As for the formation enthalpy at 0 K: -0.066 eV/atom.

[9]
This record from Alexandria via LeMat-Bulk describes a relaxed structure of Pm7Tm12Pb. The functional is PBE.

Cell and atoms, written as extended XYZ:
```
20
Lattice="8.4299 0.0000 0.0000 4.1099 8.0538 0.0000 1.9546 2.0231 9.3582" Properties=species:S:1:pos:R:3 pbc="T T T"
Pm 0.0000 0.0000 0.0000
Pm 2.4608 3.0365 1.4557
Pm 7.1592 8.0565 2.7313
Pm 5.2694 2.5382 3.8150
Pm 9.2251 7.5387 5.5432
Pm 7.3353 2.0204 6.6269
Pm 12.0337 7.0404 7.9025
Tm 2.3001 1.6207 5.7911
Tm 4.5441 3.8104 7.4590
Tm 5.0446 5.5251 2.1760
Tm 6.0315 6.1113 5.3107
Tm 6.8518 6.4058 8.4335
Tm 9.2388 8.7827 8.8517
Tm 5.2557 1.2942 0.5065
Tm 7.6427 3.6711 0.9247
Tm 8.4630 3.9656 4.0475
Tm 9.4499 4.5518 7.1822
Tm 9.9504 6.2665 1.8992
Tm 12.1944 8.4562 3.5671
Pb 3.0323 5.0385 4.6791
```

Computed properties:
As for the formation enthalpy at 0 K: 0.039 eV/atom.

[10]
This record from Alexandria via LeMat-Bulk describes a relaxed structure of Nb2ZnP. The functional is PBE.

Cell and atoms, written as extended XYZ:
```
4
Lattice="0.0000 3.1461 3.1461 3.1461 0.0000 3.1461 3.1461 3.1461 0.0000" Properties=species:S:1:pos:R:3 pbc="T T T"
Nb 1.5731 1.5731 1.5731
Nb 4.7192 4.7192 4.7192
Zn 0.0000 0.0000 0.0000
P 3.1461 3.1461 3.1461
```

Computed properties:
As for the formation enthalpy at 0 K: -0.115 eV/atom.

[11]
This record from Alexandria via LeMat-Bulk describes a relaxed structure of PmY2SiN4. The functional is PBE.

Cell and atoms, written as extended XYZ:
```
16
Lattice="1.6921 -5.7610 0.0000 1.6921 5.7610 0.0000 0.0000 0.0000 11.5811" Properties=species:S:1:pos:R:3 pbc="T T T"
Pm 1.6921 4.7367 8.6858
Pm 1.6921 -4.7367 2.8953
Y 1.6921 1.5162 6.2781
Y 1.6921 1.5162 11.0936
Y 1.6921 -1.5162 0.4876
Y 1.6921 -1.5162 5.3030
Si 1.6921 3.7249 2.8953
Si 1.6921 -3.7249 8.6858
N 0.0000 0.0000 0.0000
N 0.0000 0.0000 5.7906
N 1.6921 2.6890 1.5106
N 1.6921 2.6890 4.2800
N 1.6921 1.0778 8.6858
N 1.6921 -1.0778 2.8953
N 1.6921 -2.6890 7.3012
N 1.6921 -2.6890 10.0705
```

Computed properties:
The uncorrected formation energy is -1.322 eV/atom.

[12]
This record from Alexandria via LeMat-Bulk describes a relaxed structure of Zn2CuGe. The functional is PBE.

Cell and atoms, written as extended XYZ:
```
4
Lattice="3.0887 0.0000 0.0000 0.0000 3.0887 0.0000 0.0000 0.0000 6.4825" Properties=species:S:1:pos:R:3 pbc="T T T"
Zn 0.0000 0.0000 1.3824
Zn 0.0000 0.0000 5.1001
Cu 1.5443 1.5443 0.0000
Ge 1.5443 1.5443 3.2412
```

Computed properties:
As for the formation enthalpy at 0 K: 0.115 eV/atom.

[13]
This record from Alexandria via LeMat-Bulk describes a relaxed structure of TbZnH. The functional is PBE.

Cell and atoms, written as extended XYZ:
```
3
Lattice="-1.6184 1.6184 5.1633 1.6184 -1.6184 5.1633 1.6184 1.6184 -5.1633" Properties=species:S:1:pos:R:3 pbc="T T T"
Tb 0.0000 0.0000 0.0000
Zn 0.0000 0.0000 3.0948
H 0.0000 0.0000 5.6765
```

[14]
This record from Alexandria via LeMat-Bulk describes a relaxed structure of K2HgSbPd. The functional is PBE.

Cell and atoms, written as extended XYZ:
```
5
Lattice="6.3210 0.0000 0.0000 0.0000 6.3210 0.0000 0.0000 0.0000 4.9934" Properties=species:S:1:pos:R:3 pbc="T T T"
K 0.0000 3.1605 0.0000
K 3.1605 0.0000 0.0000
Hg 0.0000 0.0000 2.4967
Sb 3.1605 3.1605 2.4967
Pd 3.1605 3.1605 0.0000
```

Computed properties:
The uncorrected formation energy is -0.251 eV/atom.

[15]
This record from Alexandria via LeMat-Bulk describes a relaxed structure of CrIrBr2. The functional is PBE.

Cell and atoms, written as extended XYZ:
```
4
Lattice="-1.8379 2.0970 6.6453 1.8379 -2.0970 6.6453 1.8379 2.0970 -6.6453" Properties=species:S:1:pos:R:3 pbc="T T T"
Cr 0.0000 0.0000 0.0000
Ir 0.0000 0.0000 6.6453
Br 1.8379 0.0000 4.8516
Br 0.0000 2.0970 1.7938
```

Computed properties:
The uncorrected formation energy is 0.327 eV/atom.

[16]
This record from Alexandria via LeMat-Bulk describes a relaxed structure of RbAg2Au. The functional is PBE.

Cell and atoms, written as extended XYZ:
```
8
Lattice="4.7914 0.0000 0.0000 0.0000 8.2702 0.0000 0.0000 0.0000 6.3264" Properties=species:S:1:pos:R:3 pbc="T T T"
Rb 1.1979 2.0675 0.4694
Rb 3.5936 6.2026 5.8570
Ag 1.1979 0.6193 3.5553
Ag 1.1979 3.5158 3.5553
Ag 3.5936 4.7544 2.7711
Ag 3.5936 7.6509 2.7711
Au 1.1979 6.2026 2.6469
Au 3.5936 2.0675 3.6795
```

Computed properties:
As for the formation enthalpy at 0 K: -0.064 eV/atom.

[17]
This record from Alexandria via LeMat-Bulk describes a relaxed structure of TcSnH2W. The functional is PBE.

Cell and atoms, written as extended XYZ:
```
5
Lattice="3.7638 -2.2633 0.0000 3.7638 2.2633 0.0000 -1.9747 0.0000 3.7184" Properties=species:S:1:pos:R:3 pbc="T T T"
Tc 0.0000 0.0000 0.0000
Sn 0.6161 0.0000 2.7102
H 3.4040 0.9070 1.0690
H 3.4040 -0.9070 1.0690
W 5.1518 0.0000 0.8685
```

[18]
This record from Alexandria via LeMat-Bulk describes a relaxed structure of Ac2ZnSb4Rh3. The functional is PBE.

Cell and atoms, written as extended XYZ:
```
10
Lattice="4.6722 0.0000 0.0000 0.0000 4.6722 0.0000 0.0000 0.0000 10.6738" Properties=species:S:1:pos:R:3 pbc="T T T"
Ac 0.0000 2.3361 2.6552
Ac 2.3361 0.0000 8.0186
Zn 2.3361 2.3361 0.0000
Sb 0.0000 0.0000 5.3369
Sb 0.0000 2.3361 9.2512
Sb 2.3361 0.0000 1.4226
Sb 2.3361 2.3361 5.3369
Rh 0.0000 0.0000 0.0000
Rh 0.0000 2.3361 6.6146
Rh 2.3361 0.0000 4.0592
```

Computed properties:
The uncorrected formation energy is -0.765 eV/atom.

[19]
This record from Alexandria via LeMat-Bulk describes a relaxed structure of Na4Ac3NpTe8. The functional is PBE.

Cell and atoms, written as extended XYZ:
```
16
Lattice="4.7232 2.7270 7.5329 -4.7232 2.7270 7.5329 0.0000 -5.4539 7.5329" Properties=species:S:1:pos:R:3 pbc="T T T"
Na 0.0000 0.0000 0.0000
Na -2.3616 -1.3635 7.5329
Na -2.3616 1.3635 15.0658
Na 0.0000 2.7270 7.5329
Ac -4.7232 0.0000 11.2994
Ac -2.3616 1.3635 3.7665
Ac 2.3616 1.3635 3.7665
Np 0.0000 0.0000 11.2994
Te 0.0000 0.0000 5.6637
Te 0.0000 -2.6287 9.4709
Te -2.2765 1.3144 9.4709
Te -2.2765 -1.3143 13.1278
Te 2.2765 1.3144 9.4709
Te 2.2765 -1.3144 13.1278
Te 0.0000 2.6287 13.1278
Te 0.0000 0.0000 16.9351
```

Computed properties:
The uncorrected formation energy is -1.236 eV/atom.

[20]
This record from Alexandria via LeMat-Bulk describes a relaxed structure of In2ReAu. The functional is PBE.

Cell and atoms, written as extended XYZ:
```
4
Lattice="-2.0053 2.0053 4.6958 2.0053 -2.0053 4.6958 2.0053 2.0053 -4.6958" Properties=species:S:1:pos:R:3 pbc="T T T"
In 0.0000 0.0000 0.0000
In 0.0000 2.0053 2.3479
Re 2.0053 0.0000 2.3479
Au 0.0000 0.0000 4.6958
```

Computed properties:
As for the formation enthalpy at 0 K: 0.469 eV/atom.

no.,electronic total energy (eV/atom)
1,-9.35
2,-7.74
3,-6.07
4,-5.92
5,-9.96
6,-5.77
7,-2.20
8,-1.59
9,-4.49
10,-6.82
11,-8.37
12,-2.70
13,-3.10
14,-2.61
15,-5.13
16,-2.55
17,-6.49
18,-5.57
19,-4.72
20,-4.83